# Cu2Te2S, optimized geometry, DFT PBE
data_Cu2Te2S
_symmetry_space_group_name_H-M 'P -1'
_symmetry_Int_Tables_number 2
_cell_length_a 3.988
_cell_length_b 7.371
_cell_length_c 8.385
_cell_angle_alpha 103.39
_cell_angle_beta 92.51
_cell_angle_gamma 99.53
loop_
_symmetry_equiv_pos_as_xyz
'x,y,z'
'-x,-y,-z'
loop_
_atom_site_label
_atom_site_type_symbol
_atom_site_fract_x
_atom_site_fract_y
_atom_site_fract_z
Cu1 Cu 0.122 0.485 0.341
Cu2 Cu 0.294 0.122 0.237
Te1 Te 0.172 0.755 0.140
Te2 Te 0.308 0.281 0.556
S1 S 0.180 0.777 0.840
# - DFT total energy (eV/atom) = -3.727
# - formation energy (no corrections) (eV per atom) = -0.01